Record 1
Material: SrCe2PuP4
Method: DFT, PBE
State: optimized geometry

Space-group type   P2/m
Formation energy from the elements   -1.2702 eV per atom
Volume   200 Å³/f.u.
Magnetization   6.02 Bohr magnetons per cell
Raw total energy   -59.68 eV per formula unit
Fermi-level density of states   2.32 states/eV/atom

Lattice parameters (Å, degrees): 4.1380 7.1455 7.1846 70.48 90.00 90.00
With the nearest neighbours (Å) after each atom.
Element x y z (fractional)
Sr1 0.5000 0.5000 0.0000  6 P 3.02-3.03
Ce1 0.0000 0.0000 0.0000  6 P 2.94-2.95
Ce2 0.5000 0.0000 0.5000  6 P 2.82-2.84
Pu1 0.0000 0.5000 0.5000  6 P 2.91-2.92
P1 0.0000 0.7674 0.7318  3 Ce 2.82-2.94, 1 Pu 2.92, 2 Sr 3.03
P2 0.0000 0.2326 0.2682  3 Ce 2.82-2.94, 1 Pu 2.92, 2 Sr 3.03
P3 0.5000 0.7542 0.2611  3 Ce 2.84-2.95, 2 Pu 2.91, 1 Sr 3.02
P4 0.5000 0.2458 0.7389  3 Ce 2.84-2.95, 2 Pu 2.91, 1 Sr 3.02


Record 2
Material: HfPIr2
Method: DFT, PBE
State: optimized geometry

Space-group type   Cmcm
Formation energy from the elements   -0.8796 eV per atom
Volume   61 Å³/f.u.
Magnetization   0.00 Bohr magnetons per cell
Raw total energy   -36.60 eV per formula unit
Fermi-level density of states   0.40 states/eV/atom

Lattice parameters (Å, degrees): 3.7787 9.5174 6.8403 90.00 90.00 90.00
With the nearest neighbours (Å) after each atom.
Element x y z (fractional)
Hf1 0.0000 0.9486 0.2500  3 P 2.67-2.81, 8 Ir 2.88-2.99
Hf2 0.0000 0.0514 0.7500  3 P 2.67-2.81, 8 Ir 2.88-2.99
Hf3 0.5000 0.4486 0.2500  3 P 2.67-2.81, 8 Ir 2.88-2.99
Hf4 0.5000 0.5514 0.7500  3 P 2.67-2.81, 8 Ir 2.88-2.99
P1 0.0000 0.2296 0.2500  6 Ir 2.35-2.51
P2 0.0000 0.7704 0.7500  6 Ir 2.35-2.51
P3 0.5000 0.7296 0.2500  6 Ir 2.35-2.51
P4 0.5000 0.2704 0.7500  6 Ir 2.35-2.51
Ir1 0.0000 0.3588 0.9576  3 P 2.35-2.51
Ir2 0.0000 0.6412 0.0424  3 P 2.35-2.51
Ir3 0.0000 0.3588 0.5424  3 P 2.35-2.51
Ir4 0.0000 0.6412 0.4576  3 P 2.35-2.51
Ir5 0.5000 0.8588 0.9576  3 P 2.35-2.51
Ir6 0.5000 0.1412 0.0424  3 P 2.35-2.51
Ir7 0.5000 0.8588 0.5424  3 P 2.35-2.51
Ir8 0.5000 0.1412 0.4576  3 P 2.35-2.51


Record 3
Material: YF
Method: DFT, PBE
State: optimized geometry

Space-group type   I-43m
Volume   45 Å³/f.u.
E_form (uncorrected)   -2.359 eV/atom
Offset from the most stable computed form   231 meV per atom
Magnetization   0.00 Bohr magnetons per cell
Raw total energy   -13.05 eV per formula unit
Fermi-level density of states   0.73 states/eV/atom

Lattice parameters (Å, degrees): 7.1201 7.1201 7.1201 90.00 90.00 90.00
With the nearest neighbours (Å) after each atom.
Element x y z (fractional)
Y1 0.3029 0.3029 0.3029  4 F 2.20-2.41
Y2 0.3029 0.6971 0.6971  4 F 2.20-2.41
Y3 0.6971 0.3029 0.6971  4 F 2.20-2.41
Y4 0.6971 0.6971 0.3029  4 F 2.20-2.41
Y5 0.8029 0.8029 0.8029  4 F 2.20-2.41
Y6 0.8029 0.1971 0.1971  4 F 2.20-2.41
Y7 0.1971 0.8029 0.1971  4 F 2.20-2.41
Y8 0.1971 0.1971 0.8029  4 F 2.20-2.41
F1 0.1249 0.1249 0.1249  4 Y 2.20-2.41
F2 0.1249 0.8751 0.8751  4 Y 2.20-2.41
F3 0.8751 0.1249 0.8751  4 Y 2.20-2.41
F4 0.8751 0.8751 0.1249  4 Y 2.20-2.41
F5 0.6249 0.6249 0.6249  4 Y 2.20-2.41
F6 0.6249 0.3751 0.3751  4 Y 2.20-2.41
F7 0.3751 0.6249 0.3751  4 Y 2.20-2.41
F8 0.3751 0.3751 0.6249  4 Y 2.20-2.41


Record 4
Material: Rb2ErBr4
Method: DFT, PBE
State: optimized geometry

Space-group type   I4/mmm
Volume   274 Å³/f.u.
E_form (uncorrected)   -1.589 eV/atom
Magnetization   0.37 Bohr magnetons per cell
Raw total energy   -24.31 eV per formula unit
Fermi-level density of states   0.43 states/eV/atom

Lattice parameters (Å, degrees): 5.5897 5.5897 9.6304 106.87 106.87 90.00
With the nearest neighbours (Å) after each atom.
Element x y z (fractional)
Br1 0.8383 0.8383 0.6766  1 Er 2.84
Br2 0.1617 0.1617 0.3234  1 Er 2.84
Br3 0.0000 0.5000 0.0000  2 Er 2.79
Br4 0.5000 0.0000 0.0000  2 Er 2.79
Rb1 0.6408 0.6408 0.2816  5 Br 3.47-3.73
Rb2 0.3592 0.3592 0.7184  5 Br 3.47-3.73
Er1 0.0000 0.0000 0.0000  6 Br 2.79-2.84